No. 1
# TbNdAg6

An optimized crystal structure of TbNdAg6 (PBE-GGA, Alexandria via LeMat-Bulk).

Cell and atoms, written as POSCAR:
```
TbNdAg6
1.0
5.585 0.000 0.000
-0.628 5.550 0.000
-0.638 -0.706 5.504
Tb Nd Ag
1 1 6
direct
0.000 0.000 0.000 Tb
0.500 0.500 0.500 Nd
0.034 0.464 0.753 Ag
0.247 0.966 0.536 Ag
0.465 0.753 0.034 Ag
0.535 0.247 0.966 Ag
0.753 0.034 0.464 Ag
0.966 0.536 0.247 Ag
```

* formation enthalpy at 0 K: -234 meV per atom
* theoretical density: 9.25 g/cm3
* size of the total moment: 0.0 μB per formula unit

---

No. 2
# EuScGa4

An optimized crystal structure of EuScGa4 (PBE-GGA, Alexandria via LeMat-Bulk).

Cell and atoms, written as POSCAR:
```
EuScGa4
1.0
0.000 3.889 3.889
3.889 0.000 3.889
3.889 3.889 0.000
Eu Sc Ga
1 1 4
direct
0.000 0.000 0.000 Eu
0.750 0.750 0.750 Sc
0.375 0.375 0.375 Ga
0.375 0.375 0.874 Ga
0.375 0.874 0.375 Ga
0.874 0.375 0.375 Ga
```

* formation enthalpy at 0 K: -456 meV per atom
* theoretical density: 6.72 g/cm3
* size of the total moment: 7.4 μB per formula unit

---

No. 3
# LaY2RhF

An optimized crystal structure of LaY2RhF (PBE-GGA, Alexandria via LeMat-Bulk).

Cell and atoms, written as POSCAR:
```
LaY2RhF
1.0
5.800 0.000 0.000
0.000 5.800 0.000
0.000 0.000 4.698
La Y Rh F
1 2 1 1
direct
0.000 0.000 0.000 La
0.000 0.500 0.000 Y
0.500 0.000 0.000 Y
0.000 0.000 0.500 Rh
0.500 0.500 0.500 F
```

* formation energy from raw total energies: 459 meV per atom
* theoretical density: 4.61 g/cm3
* size of the total moment: 0.0 μB per formula unit

---

No. 4
# Y2NCl

An optimized crystal structure of Y2NCl (PBE-GGA, Alexandria via LeMat-Bulk).

Cell and atoms, written as POSCAR:
```
Y2NCl
1.0
1.782 1.029 6.798
-1.782 1.029 6.798
0.000 -2.058 6.798
Y N Cl
2 1 1
direct
0.000 0.000 0.000 Y
0.209 0.209 0.209 Y
0.610 0.610 0.610 N
0.437 0.437 0.437 Cl
```

* formation energy from raw total energies: -1556 meV per atom
* theoretical density: 5.05 g/cm3
* size of the total moment: 0.0 μB per formula unit

---

No. 5
# CdSi

An optimized crystal structure of CdSi (PBE-GGA, Alexandria via LeMat-Bulk).

Cell and atoms, written as POSCAR:
```
CdSi
1.0
-1.802 2.029 5.767
1.802 -2.029 5.767
1.802 2.029 -5.767
Cd Si
2 2
direct
0.347 0.097 0.250 Cd
0.653 0.903 0.750 Cd
0.068 0.318 0.750 Si
0.932 0.682 0.250 Si
```

* formation energy from raw total energies: 358 meV per atom
* theoretical density: 5.53 g/cm3
* size of the total moment: 0.0 μB per formula unit

---

No. 6
# K2YCu

An optimized crystal structure of K2YCu (PBE-GGA, Alexandria via LeMat-Bulk).

Cell and atoms, written as POSCAR:
```
K2YCu
1.0
-2.264 2.264 6.545
2.264 -2.264 6.545
2.264 2.264 -6.545
K Y Cu
2 1 1
direct
0.250 0.750 0.500 K
0.750 0.250 0.500 K
0.000 0.000 0.000 Y
0.500 0.500 0.000 Cu
```

* formation enthalpy at 0 K: 579 meV per atom
* theoretical density: 2.85 g/cm3
* energy above the most stable polymorph in this dataset: 152.7 kJ/mol of formula units
* size of the total moment: 0.7 μB per formula unit